Arrangement w

A relaxed CoSbBr2 crystal, computed with PBE.

For the total magnetization, the calculation gives 1.07 μB per formula unit.

The space group is F-43m (No. 216) and the conventional cell measures 7.111, 7.111 and 7.111 Å, with angles of 90.00, 90.00 and 90.00 degrees. The distinct sites, in fractional coordinates, are Co at (0.000, 0.000, 0.000), Sb at (0.250, 0.250, 0.750), Br at (0.000, 0.000, 0.500) and Br at (0.250, 0.250, 0.250).

=====

Arrangement x

A relaxed CoSbBr2 crystal, computed with PBE.

For the total magnetization, the calculation gives 2.25 μB per formula unit.

The space group is Pmmm (No. 47) and the conventional cell measures 3.432, 4.630 and 6.136 Å, with angles of 90.00, 90.00 and 90.00 degrees. The distinct sites, in fractional coordinates, are Co at (0.000, 0.000, 0.000), Sb at (0.500, 0.000, 0.500), Br at (0.000, 0.500, 0.500) and Br at (0.500, 0.500, 0.000).

=====

Stability verdict: arrangement x, ahead by 15.7 kJ/mol of atoms

=====

Arrangement w

A relaxed AsAuSe2N crystal, computed with PBE.

For the total magnetization, the calculation gives 0.00 μB per formula unit.

The space group is P4/mmm (No. 123) and the conventional cell measures 5.079, 5.079 and 4.949 Å, with angles of 90.00, 90.00 and 90.00 degrees. The distinct sites, in fractional coordinates, are As at (0.000, 0.000, 0.000), Au at (0.000, 0.000, 0.500), Se at (0.000, 0.500, 0.500) and N at (0.500, 0.500, 0.000).

=====

Arrangement x

A relaxed AsAuSe2N crystal, computed with PBE.

For the total magnetization, the calculation gives 0.00 μB per formula unit.

The space group is P4/mmm (No. 123) and the conventional cell measures 4.529, 4.529 and 4.301 Å, with angles of 90.00, 90.00 and 90.00 degrees. The distinct sites, in fractional coordinates, are As at (0.000, 0.000, 0.000), Au at (0.500, 0.500, 0.000), Se at (0.000, 0.500, 0.500) and N at (0.000, 0.000, 0.500).

=====

Stability verdict: arrangement x, ahead by 97.9 kJ/mol of atoms

=====

Arrangement w

A relaxed YZnTe2 crystal, computed with PBE.

For the total magnetization, the calculation gives 0.00 μB per formula unit.

The space group is R-3m (No. 166, hexagonal axes) and the conventional cell measures 3.9805, 3.9805 and 27.5982 Å, with angles of 90.00, 90.00 and 120.00 degrees. The distinct sites, in fractional coordinates, are Y at (0.0000, 0.0000, 0.0000), Zn at (0.0000, 0.0000, 0.5000) and Te at (0.0000, 0.0000, 0.1081).

=====

Arrangement x

A relaxed YZnTe2 crystal, computed with PBE.

For the total magnetization, the calculation gives 0.00 μB per formula unit.

The space group is R-3m (No. 166, hexagonal axes) and the conventional cell measures 4.4227, 4.4227 and 26.3125 Å, with angles of 90.00, 90.00 and 120.00 degrees. The distinct sites, in fractional coordinates, are Y at (0.0000, 0.0000, 0.0000), Zn at (0.0000, 0.0000, 0.5000) and Te at (0.0000, 0.0000, 0.3991).

=====

Stability verdict: arrangement x, ahead by 50.5 kJ/mol of atoms